Computed, not measured: a relaxed structure of TaMoH3 at the PBE-GGA level of DFT.

Offset from the most stable computed form: 0.0 meV per atom

abc: 4.3143 6.1711 4.3214
angles: 90.00 90.00 133.92
Fractional positions:
Ta 0.0250 0.2738 0.0000
Ta 0.9750 0.7262 0.0000
Mo 0.4825 0.7333 0.5000
Mo 0.5175 0.2667 0.5000
H 0.0000 0.0000 0.7438
H 0.0000 0.0000 0.2562
H 0.5001 0.0000 0.2493
H 0.4999 0.0000 0.7507
H 0.9447 0.6715 0.4997
H 0.0553 0.3285 0.5003